DFT (PBE) results for a relaxed structure of KSr2Cd.

As for the crystal system: monoclinic. The value obtained for the density of states at the Fermi level is 3.602 states/eV/f.u. The energy relative to the elements is -131 meV per atom.

Lattice parameters (Å, degrees): 4.1187 4.1272 11.0833 90.00 90.14 90.00
Space group P2/m (No. 10)
One atom of each set of equivalent atoms:
K1 0.0000 0.0000 0.0000 x1
Sr1 0.4983 0.5000 0.3247 x2
Cd1 0.0000 0.0000 0.5000 x1